DFT (PBE) results for a relaxed structure of VAsOsSe2.

```
data_VAsOsSe2
_symmetry_space_group_name_H-M 'P 4/m m m'
_symmetry_Int_Tables_number 123
_symmetry_space_group_name_Hall '-P 4 2'
_cell_length_a 5.028
_cell_length_b 5.028
_cell_length_c 4.566
_cell_angle_alpha 90.00
_cell_angle_beta 90.00
_cell_angle_gamma 90.00
loop_
_atom_site_label
_atom_site_type_symbol
_atom_site_fract_x
_atom_site_fract_y
_atom_site_fract_z
V1 V 0.000 0.000 0.000
As1 As 0.500 0.500 0.000
Os1 Os 0.500 0.500 0.500
Se1 Se 0.000 0.500 0.500
```

The calculated density is 6.8 g cm⁻³. The calculation puts the energy relative to the lowest polymorph listed for this composition at 0.008 eV/atom. Its electronic total energy is -26.56 eV per cell. The calculation puts the energy relative to the elements, uncorrected at 1.082 eV per atom. The value obtained for the total moment is 0.290 μB/f.u.

DFT (PBE) results for a relaxed structure of Er2Tl3Zn.

```
data_Er2Tl3Zn
_symmetry_space_group_name_H-M 'C 1 2/c 1'
_symmetry_Int_Tables_number 15
_symmetry_space_group_name_Hall '-C 2yc'
_cell_length_a 16.099
_cell_length_b 6.494
_cell_length_c 6.492
_cell_angle_alpha 90.00
_cell_angle_beta 113.71
_cell_angle_gamma 90.00
loop_
_atom_site_label
_atom_site_type_symbol
_atom_site_fract_x
_atom_site_fract_y
_atom_site_fract_z
Er1 Er 0.151 0.246 0.150
Tl1 Tl 0.000 0.000 0.250
Tl2 Tl 0.142 0.274 0.641
Zn1 Zn 0.000 0.500 0.250
```

The calculated density is 10.8 g cm⁻³. Its electronic total energy is -73.33 eV per cell. The value obtained for the total moment is 0.000 μB/f.u.

> Which value of total moment does entry 2 give?

0.000 μB/f.u.